A relaxed structure of NdAlTl, computed with PBE-GGA. Values from VASP.

The structure in Quantum ESPRESSO input format:
```
&SYSTEM
  ibrav = 0, nat = 3, ntyp = 3
/
ATOMIC_SPECIES
Nd 144.24 Nd.upf
Al 26.98 Al.upf
Tl 204.38 Tl.upf
CELL_PARAMETERS angstrom
4.838 0.000 0.000
-2.419 4.190 0.000
0.000 0.000 3.746
ATOMIC_POSITIONS crystal
Nd 0.000 0.000 0.000
Al 0.667 0.333 0.503
Tl 0.333 0.667 0.497
```

Summary:
crystal system = trigonal
E_form = -0.31 eV per atom
calculated total energy = -0.145 Ha/atom
space-group type = P3m1, No. 156